Entry 1:
A geometry-optimized PuTlSnBi structure. Source: the Alexandria database, functional PBE.

Output
**Space-group type**: P4/nmm (129)
**Crystal system**: tetragonal
**Energy relative to the lowest polymorph listed for this composition**: 0.0000 eV per atom
**Calculated volume**: 225.5 Å³ per cell
**N(E_F)**: 23.1 states/eV/cell

Geometry as POSCAR:
```
PuTlSnBi
1.0
4.519 0.000 0.000
0.000 4.519 0.000
0.000 0.000 11.039
Pu Tl Sn Bi
2 2 2 2
direct
0.250 0.250 0.233
0.750 0.750 0.767
0.250 0.750 0.500
0.750 0.250 0.500
0.250 0.750 0.000
0.750 0.250 0.000
0.250 0.250 0.747
0.750 0.750 0.253
```



Entry 2:
A geometry-optimized PuTlSnBi structure. Source: the Alexandria database, functional PBE.

Output
**Space-group type**: F-43m (216)
**Crystal system**: cubic
**Energy relative to the lowest polymorph listed for this composition**: 0.1740 eV per atom
**Calculated volume**: 118.4 Å³ per cell
**N(E_F)**: 14.0 states/eV/cell

Geometry as POSCAR:
```
PuTlSnBi
1.0
0.000 3.898 3.898
3.898 0.000 3.898
3.898 3.898 0.000
Pu Tl Sn Bi
1 1 1 1
direct
0.000 0.000 0.000
0.500 0.500 0.500
0.750 0.750 0.750
0.250 0.250 0.250
```



Entry 3:
A geometry-optimized PuZnSnBi structure. Source: the Alexandria database, functional PBE.

Output
**Space-group type**: Pmmm (47)
**VASP energy**: -6.108 eV/atom
**Crystal system**: orthorhombic
**Calculated volume**: 99.2 Å³ per cell
**N(E_F)**: 10.3 states/eV/cell

Geometry as POSCAR:
```
PuZnSnBi
1.0
4.437 0.000 0.000
0.000 4.698 0.000
0.000 0.000 4.760
Pu Zn Sn Bi
1 1 1 1
direct
0.000 0.000 0.000
0.000 0.500 0.500
0.500 0.000 0.500
0.500 0.500 0.000
```